! Tl2NiPb | Alexandria via LeMat-Bulk | PBE | relaxed; values from VASP
&SYSTEM
  ibrav = 0, nat = 8, ntyp = 3
/
ATOMIC_SPECIES
Tl 204.38 Tl.upf
Ni 58.69 Ni.upf
Pb 207.20 Pb.upf
ATOMIC_POSITIONS angstrom
Tl 3.601 0.898 -2.356
Tl 0.898 1.200 2.356
Tl -1.200 1.503 7.069
Tl 1.503 1.200 11.781
Ni 0.000 0.000 0.000
Ni 0.000 2.401 4.713
Pb 2.401 0.000 4.713
Pb 0.000 0.000 9.425
CELL_PARAMETERS angstrom
-2.401 2.401 9.425
2.401 -2.401 9.425
2.401 2.401 -9.425
! size of the total moment	0.0	μB per formula unit
! volume	217.3	Å³/cell
! symmetry	No. 122
! DFT formation energy	0.447	eV/atom
! energy relative to the lowest polymorph listed for this composition	0.291	eV/atom